First-principles (PBE) data for a relaxed SbTe2P crystal, as listed in Alexandria.

Lattice parameters (Å, degrees): 6.124 8.449 4.251 90.00 90.00 90.00
Space group Cmmm (No. 65)
Inequivalent atoms, fractional coordinates:
Sb  0.000  0.000  0.000 (multiplicity 2)
Te  0.000  0.267  0.500 (multiplicity 4)
P  0.000  0.500  0.000 (multiplicity 2)

Computed properties:
- density of states at the Fermi level (states/eV/atom) = 0.59
- energy relative to the lowest polymorph listed for this composition (eV per atom) = 0.0511
- formation energy without anion corrections (kJ/mol of atoms) = 20.2
- calculated total energy (eV/cell) = -29.95